First-principles (PBE-GGA) data for a relaxed MnTlI2Br crystal, as listed in Alexandria.

The structure in POSCAR format:
```
MnTlI2Br
1.0
-3.849 3.849 6.113
3.849 -3.849 6.113
3.849 3.849 -6.113
Mn Tl I Br
2 2 4 2
Direct
0.000 0.000 0.000
0.500 0.500 0.000
0.209 0.709 0.500
0.709 0.209 0.500
0.138 0.264 0.500
0.264 0.764 0.125
0.638 0.138 0.875
0.764 0.638 0.500
0.203 0.203 0.000
0.703 0.703 0.000
```

Energy above the most stable polymorph in this dataset (kJ per mole of atoms): 0.00
Symmetry: I4cm
E_form (uncorrected) (eV per atom): -0.55

=====

First-principles (PBE-GGA) data for a relaxed Al2SeF crystal, as listed in Alexandria.

The structure in POSCAR format:
```
Al2SeF
1.0
0.000 3.258 3.258
3.258 0.000 3.258
3.258 3.258 0.000
Al Se F
2 1 1
Direct
0.250 0.250 0.250
0.750 0.750 0.750
0.000 0.000 0.000
0.500 0.500 0.500
```

Energy above the most stable polymorph in this dataset (kJ per mole of atoms): 26.46
Symmetry: Fm-3m
E_form (uncorrected) (eV per atom): -0.60

=====

First-principles (PBE-GGA) data for a relaxed LiTeIr crystal, as listed in Alexandria.

The structure in POSCAR format:
```
LiTeIr
1.0
-1.781 1.781 4.002
1.781 -1.781 4.002
1.781 1.781 -4.002
Li Te Ir
1 1 1
Direct
0.000 0.000 0.000
0.680 0.680 0.000
0.325 0.325 0.000
```

Energy above the most stable polymorph in this dataset (kJ per mole of atoms): 12.85
Symmetry: I4mm
E_form (uncorrected) (eV per atom): -0.11

=====

First-principles (PBE-GGA) data for a relaxed YSnP2Os crystal, as listed in Alexandria.

The structure in POSCAR format:
```
YSnP2Os
1.0
4.965 0.000 0.000
0.000 4.965 0.000
0.000 0.000 4.904
Y Sn P Os
1 1 2 1
Direct
0.000 0.000 0.000
0.500 0.500 0.500
0.000 0.500 0.500
0.500 0.000 0.500
0.500 0.500 0.000
```

Symmetry: P4/mmm
Formation enthalpy at 0 K (eV per atom): 0.966

=====

First-principles (PBE-GGA) data for a relaxed SmTm3Hg4 crystal, as listed in Alexandria.

The structure in POSCAR format:
```
SmTm3Hg4
1.0
5.197 0.000 0.000
0.000 5.197 0.000
0.000 0.000 7.534
Sm Tm Hg
1 3 4
Direct
0.000 0.000 0.000
0.000 0.000 0.500
0.500 0.500 0.000
0.500 0.500 0.500
0.000 0.500 0.260
0.000 0.500 0.740
0.500 0.000 0.260
0.500 0.000 0.740
```

Symmetry: P4/mmm
Formation enthalpy at 0 K (eV per atom): -0.473

=====

First-principles (PBE-GGA) data for a relaxed CaSn3 crystal, as listed in Alexandria.

The structure in POSCAR format:
```
CaSn3
1.0
0.000 3.851 3.851
3.851 0.000 3.851
3.851 3.851 0.000
Ca Sn
1 3
Direct
0.000 0.000 0.000
0.250 0.250 0.250
0.500 0.500 0.500
0.750 0.750 0.750
```

Symmetry: Fm-3m
Formation enthalpy at 0 K (eV per atom): -0.202

=====

First-principles (PBE-GGA) data for a relaxed In2BSe crystal, as listed in Alexandria.

The structure in POSCAR format:
```
In2BSe
1.0
-2.946 2.946 5.638
2.946 -2.946 5.638
2.946 2.946 -5.638
In B Se
4 2 2
Direct
0.055 0.625 0.930
0.375 0.305 0.430
0.695 0.125 0.070
0.875 0.945 0.570
0.000 0.000 0.000
0.750 0.250 0.500
0.250 0.750 0.500
0.500 0.500 0.000
```

Energy above the most stable polymorph in this dataset (kJ per mole of atoms): 0.00
Symmetry: I-42d
E_form (uncorrected) (eV per atom): 0.21

=====

First-principles (PBE-GGA) data for a relaxed Tb3PdN crystal, as listed in Alexandria.

The structure in POSCAR format:
```
Tb3PdN
1.0
4.767 0.000 0.000
0.000 4.767 0.000
0.000 0.000 4.767
Tb Pd N
3 1 1
Direct
0.000 0.000 0.500
0.000 0.500 0.000
0.500 0.000 0.000
0.500 0.500 0.500
0.000 0.000 0.000
```

Symmetry: Pm-3m
E_form (uncorrected) (eV per atom): -0.87

=====

First-principles (PBE-GGA) data for a relaxed Ac2MnAl3Au12 crystal, as listed in Alexandria.

The structure in POSCAR format:
```
Ac2MnAl3Au12
1.0
4.332 2.501 6.681
-4.332 2.501 6.681
0.000 -5.002 6.681
Ac Mn Al Au
2 1 3 12
Direct
0.117 0.117 0.117
0.883 0.883 0.883
0.500 0.500 0.500
0.000 0.500 0.500
0.500 0.000 0.500
0.500 0.500 0.000
0.130 0.623 0.623
0.144 0.144 0.613
0.144 0.613 0.144
0.377 0.377 0.870
0.377 0.870 0.377
0.387 0.856 0.856
0.613 0.144 0.144
0.623 0.130 0.623
0.623 0.623 0.130
0.856 0.387 0.856
0.856 0.856 0.387
0.870 0.377 0.377
```

Symmetry: R-3m
Formation enthalpy at 0 K (eV per atom): -0.188

=====

First-principles (PBE-GGA) data for a relaxed Ce3Ge3Ru2 crystal, as listed in Alexandria.

The structure in POSCAR format:
```
Ce3Ge3Ru2
1.0
7.547 0.000 0.000
0.000 14.888 0.000
0.000 0.000 6.083
Ce Ge Ru
12 12 8
Direct
0.020 0.104 0.131
0.020 0.396 0.131
0.147 0.250 0.641
0.353 0.750 0.141
0.480 0.604 0.631
0.480 0.896 0.631
0.520 0.104 0.369
0.520 0.396 0.369
0.647 0.250 0.859
0.853 0.750 0.359
0.980 0.604 0.869
0.980 0.896 0.869
0.164 0.048 0.590
0.164 0.452 0.590
0.197 0.750 0.626
0.303 0.250 0.126
0.336 0.548 0.090
0.336 0.952 0.090
0.664 0.048 0.910
0.664 0.452 0.910
0.697 0.750 0.874
0.803 0.250 0.374
0.836 0.548 0.410
0.836 0.952 0.410
0.156 0.603 0.399
0.156 0.897 0.399
0.344 0.103 0.899
0.344 0.397 0.899
0.656 0.603 0.101
0.656 0.897 0.101
0.844 0.103 0.601
0.844 0.397 0.601
```

Symmetry: Pnma
Formation enthalpy at 0 K (eV per atom): -0.641

=====

Number 1: size of the total moment 10.0 μB per cell. Number 2: size of the total moment 0.0 μB per cell. Number 3: size of the total moment 0.0 μB per cell. Number 4: size of the total moment 0.0 μB per cell. Number 5: size of the total moment 0.3 μB per cell. Number 6: size of the total moment 0.0 μB per cell. Number 7: size of the total moment 0.0 μB per cell. Number 8: size of the total moment 0.0 μB per cell. Number 9: size of the total moment 4.0 μB per cell. Number 10: size of the total moment 5.0 μB per cell.